(1)
The following is a DFT calculation (PBE) of Pr2SmIn3Pd3 after structural relaxation.

Output
**VASP energy**: -45.1 eV per cell
**Density**: 8.6 g/cm3
**Spin magnetization**: 0.04 μB/f.u.

Unit cell a=4.090 b=7.715 c=7.715 alpha=119.99 beta=90.00 gamma=90.00
Element x y z (fractional)
Pd 0.000 0.664 0.334
Pd 0.500 0.002 0.002
Pd 0.000 0.334 0.664
In 0.000 0.002 0.252
In 0.000 0.252 0.002
In 0.000 0.747 0.747
Pr 0.500 0.589 0.000
Pr 0.500 0.000 0.589
Sm 0.500 0.410 0.410


(2)
The following is a DFT calculation (PBE) of RbCuB4 after structural relaxation.

Output
**VASP energy**: -28.7 eV per cell
**Density**: 4.7 g/cm3

Unit cell a=3.088 b=3.088 c=8.310 alpha=90.00 beta=90.00 gamma=120.00
Element x y z (fractional)
B 0.333 0.667 0.816
B 0.333 0.667 0.184
B 0.667 0.333 0.816
B 0.667 0.333 0.184
Rb 0.000 0.000 0.500
Cu 0.000 0.000 0.000


(3)
The following is a DFT calculation (PBE) of Y3Ho3SbTeOs after structural relaxation.

Output
**VASP energy**: -58.0 eV per cell
**Density**: 8.2 g/cm3
**Spin magnetization**: 0.09 μB/f.u.

Unit cell a=8.223 b=8.223 c=4.143 alpha=90.00 beta=90.00 gamma=120.00
Element x y z (fractional)
Te 0.333 0.667 0.500
Y 0.996 0.605 0.000
Y 0.609 0.004 0.000
Y 0.395 0.391 0.000
Sb 0.667 0.333 0.500
Os 0.000 0.000 0.000
Ho 0.763 0.763 0.500
Ho 0.237 0.001 0.500
Ho 0.999 0.237 0.500


(4)
The following is a DFT calculation (PBE) of LiZrAlPt after structural relaxation.

Output
**VASP energy**: -22.5 eV per cell
**Density**: 8.4 g/cm3
**Spin magnetization**: 0.01 μB/f.u.

Unit cell a=4.468 b=4.468 c=4.468 alpha=60.00 beta=60.00 gamma=60.00
Element x y z (fractional)
Pt 0.500 0.500 0.500
Zr 0.000 0.000 0.000
Li 0.750 0.750 0.750
Al 0.250 0.250 0.250